First-principles (PBE) data for Li2YI5 after structural relaxation, as listed in the Alexandria database.

Summary:
The calculation puts the offset from the most stable computed form at 0 meV/atom. The space group is Cmcm (63). Its crystal system is orthorhombic. As for the energy relative to the elements, uncorrected: -1.25 eV per atom.

a b c (Å): 6.0839 10.2406 13.3568
angles (deg): 90.00 90.00 107.28
With the nearest neighbours (Å) after each atom.
Fractional positions:
1 Li 0.1984 0.3969 0.9548  3 I 2.77-3.10
2 Li 0.8016 0.6031 0.4548  3 I 2.77-3.10
3 Li 0.8016 0.6031 0.0452  3 I 2.77-3.10
4 Li 0.1984 0.3969 0.5452  3 I 2.77-3.10
5 I 0.7273 0.4547 0.2500  2 Li 3.10, 2 Y 3.11
6 I 0.6905 0.3810 0.9127  3 Li 2.80-3.10, 1 Y 3.12
7 I 0.0918 0.1836 0.0908  1 Li 2.77, 1 Y 2.93
8 I 0.9082 0.8164 0.5908  1 Li 2.77, 1 Y 2.93
9 I 0.9082 0.8164 0.9092  1 Li 2.77, 1 Y 2.93
10 I 0.3095 0.6190 0.4127  3 Li 2.80-3.10, 1 Y 3.12
11 I 0.0918 0.1836 0.4092  1 Li 2.77, 1 Y 2.93
12 I 0.6905 0.3810 0.5873  3 Li 2.80-3.10, 1 Y 3.12
13 I 0.3095 0.6190 0.0873  3 Li 2.80-3.10, 1 Y 3.12
14 I 0.2727 0.5453 0.7500  2 Li 3.10, 2 Y 3.11
15 Y 0.8053 0.6106 0.7500  6 I 2.93-3.12
16 Y 0.1947 0.3894 0.2500  6 I 2.93-3.12

***

First-principles (PBE) data for La4In2H after structural relaxation, as listed in the Alexandria database.

Summary:
The space group is I4/mmm (139). Its crystal system is tetragonal.

a b c (Å): 4.8651 4.8651 9.4943
angles (deg): 75.15 75.15 90.00
With the nearest neighbours (Å) after each atom.
Fractional positions:
1 La 0.5000 0.0000 0.0000  2 H 2.43
2 La 0.1804 0.1804 0.6391  1 H 3.19, 5 In 3.26-3.53
3 La 0.8196 0.8196 0.3609  1 H 3.19, 5 In 3.26-3.53
4 La 0.0000 0.5000 0.0000  2 H 2.43
5 H 0.0000 0.0000 0.0000  4 La 2.43
6 In 0.3644 0.3644 0.2712  9 La 3.26-3.53
7 In 0.6356 0.6356 0.7288  9 La 3.26-3.53

***

First-principles (PBE) data for Tb6Pm12Nd after structural relaxation, as listed in the Alexandria database.

Summary:
The calculation puts the offset from the most stable computed form at 0 meV/atom. The space group is R-3 (148). Its crystal system is trigonal. The formation energy comes out at 0.1359 eV/atom.

a b c (Å): 8.6712 8.6712 8.6712
angles (deg): 88.96 88.96 88.96
With the nearest neighbours (Å) after each atom.
Fractional positions:
1 Pm 0.2210 0.4628 0.5664  6 Pm 3.34-3.73, 3 Tb 3.36-3.49
2 Pm 0.9835 0.8020 0.6391  4 Pm 3.46-3.63, 4 Tb 3.55-3.72, 1 Nd 3.60
3 Pm 0.4336 0.7790 0.5372  6 Pm 3.34-3.73, 3 Tb 3.36-3.49
4 Pm 0.8020 0.6391 0.9835  4 Pm 3.46-3.63, 4 Tb 3.55-3.72, 1 Nd 3.60
5 Pm 0.4628 0.5664 0.2210  6 Pm 3.34-3.73, 3 Tb 3.36-3.49
6 Pm 0.5664 0.2210 0.4628  6 Pm 3.34-3.73, 3 Tb 3.36-3.49
7 Pm 0.3609 0.0165 0.1980  4 Pm 3.46-3.63, 4 Tb 3.55-3.72, 1 Nd 3.60
8 Pm 0.7790 0.5372 0.4336  6 Pm 3.34-3.73, 3 Tb 3.36-3.49
9 Pm 0.5372 0.4336 0.7790  6 Pm 3.34-3.73, 3 Tb 3.36-3.49
10 Pm 0.0165 0.1980 0.3609  4 Pm 3.46-3.63, 4 Tb 3.55-3.72, 1 Nd 3.60
11 Pm 0.6391 0.9835 0.8020  4 Pm 3.46-3.63, 4 Tb 3.55-3.72, 1 Nd 3.60
12 Pm 0.1980 0.3609 0.0165  4 Pm 3.46-3.63, 4 Tb 3.55-3.72, 1 Nd 3.60
13 Tb 0.6979 0.2595 0.0975  7 Pm 3.36-3.72, 1 Nd 3.52, 2 Tb 3.56
14 Tb 0.2595 0.0975 0.6979  7 Pm 3.36-3.72, 1 Nd 3.52, 2 Tb 3.56
15 Tb 0.0975 0.6979 0.2595  7 Pm 3.36-3.72, 1 Nd 3.52, 2 Tb 3.56
16 Tb 0.9025 0.3021 0.7405  7 Pm 3.36-3.72, 1 Nd 3.52, 2 Tb 3.56
17 Tb 0.7405 0.9025 0.3021  7 Pm 3.36-3.72, 1 Nd 3.52, 2 Tb 3.56
18 Tb 0.3021 0.7405 0.9025  7 Pm 3.36-3.72, 1 Nd 3.52, 2 Tb 3.56
19 Nd 0.0000 0.0000 0.0000  6 Tb 3.52, 6 Pm 3.60

***

First-principles (PBE) data for Pu2ZnGe4Au3 after structural relaxation, as listed in the Alexandria database.

Summary:
The space group is P-4m2 (115). Its crystal system is tetragonal. The formation energy comes out at -0.2895 eV/atom.

a b c (Å): 4.2615 4.2615 11.2923
angles (deg): 90.00 90.00 90.00
With the nearest neighbours (Å) after each atom.
Fractional positions:
1 Au 0.0000 0.5000 0.1416  5 Ge 2.51-2.66
2 Au 0.0000 0.0000 0.5000  4 Ge 2.63
3 Au 0.5000 0.0000 0.8584  5 Ge 2.51-2.66
4 Pu 0.5000 0.0000 0.2637  4 Ge 3.22, 6 Au 3.31-3.41, 2 Zn 3.41
5 Pu 0.0000 0.5000 0.7363  4 Ge 3.22, 6 Au 3.31-3.41, 2 Zn 3.41
6 Zn 0.5000 0.5000 0.5000  4 Ge 2.63
7 Ge 0.0000 0.0000 0.0000  4 Au 2.66
8 Ge 0.5000 0.0000 0.6365  3 Au 2.51-2.63, 2 Zn 2.63
9 Ge 0.5000 0.5000 0.0000  4 Au 2.66
10 Ge 0.0000 0.5000 0.3635  3 Au 2.51-2.63, 2 Zn 2.63

***

First-principles (PBE) data for InOs3Rh after structural relaxation, as listed in the Alexandria database.

Summary:
The calculation puts the offset from the most stable computed form at 0 meV/atom. The space group is Pm-3m (221). Its crystal system is cubic. The formation energy comes out at 2.2212 eV/atom.

a b c (Å): 4.6964 4.6964 4.6964
angles (deg): 90.00 90.00 90.00
With the nearest neighbours (Å) after each atom.
Fractional positions:
1 Rh 0.0000 0.0000 0.0000  6 Os 2.35
2 Os 0.0000 0.5000 0.0000  2 Rh 2.35
3 Os 0.0000 0.0000 0.5000  2 Rh 2.35
4 Os 0.5000 0.0000 0.0000  2 Rh 2.35
5 In 0.5000 0.5000 0.5000  12 Os 3.32

***

Electronic total energy, respectively: -3.506 -4.456 -4.578 -6.113 -6.535 eV per atom.